## a
A plane-wave DFT calculation with PBE was carried out for a geometry-optimized KBa2Au2 structure.

Computed properties:
The density of states at the Fermi level is 0.856 states/eV/atom. The density comes out at 6305 kg/m³. The space group is P4/mbm (127).

Lattice parameters (Å, degrees): 9.088 9.088 4.513 90.00 90.00 90.00
Element x y z (fractional)
Ba: 0.341 0.159 0.500
Ba: 0.659 0.841 0.500
Au: 0.372 0.872 0.000
Ba: 0.841 0.341 0.500
K: 0.500 0.500 0.000
Au: 0.128 0.372 0.000
Au: 0.628 0.128 0.000
K: 0.000 0.000 0.000
Au: 0.872 0.628 0.000
Ba: 0.159 0.659 0.500



## b
A plane-wave DFT calculation with PBE was carried out for a geometry-optimized KBa2Au2 structure.

Computed properties:
The density of states at the Fermi level is 1.011 states/eV/atom. The density comes out at 6441 kg/m³. The space group is P4/mbm (127).

Lattice parameters (Å, degrees): 9.562 9.562 3.990 90.00 90.00 90.00
Element x y z (fractional)
Au: 0.650 0.850 0.500
Ba: 0.142 0.358 0.000
Ba: 0.642 0.142 0.000
Au: 0.350 0.150 0.500
Ba: 0.358 0.858 0.000
K: 0.000 0.000 0.000
Au: 0.850 0.350 0.500
Ba: 0.858 0.642 0.000
Au: 0.150 0.650 0.500
K: 0.500 0.500 0.000



The data favor a; the next most stable structure lies 109 meV per atom above it.



## a
A plane-wave DFT calculation with PBE was carried out for a geometry-optimized KBa2MgAu structure.

Computed properties:
The density of states at the Fermi level is 0.688 states/eV/atom. The density comes out at 3494 kg/m³. The space group is P4/mmm (123).

Lattice parameters (Å, degrees): 6.367 6.367 6.273 90.00 90.00 90.00
Element x y z (fractional)
K: 0.000 0.000 0.500
Ba: 0.000 0.500 0.000
Au: 0.000 0.000 0.000
Ba: 0.500 0.000 0.000
Mg: 0.500 0.500 0.500



## b
A plane-wave DFT calculation with PBE was carried out for a geometry-optimized KBa2MgAu structure.

Computed properties:
The density of states at the Fermi level is 0.993 states/eV/atom. The density comes out at 3824 kg/m³. The space group is P4/mmm (123).

Lattice parameters (Å, degrees): 6.526 6.526 5.455 90.00 90.00 90.00
Element x y z (fractional)
Ba: 0.000 0.500 0.000
Ba: 0.500 0.000 0.000
K: 0.500 0.500 0.500
Au: 0.000 0.000 0.000
Mg: 0.000 0.000 0.500



The data favor b; the next most stable structure lies 117 meV per atom above it.



## a
A plane-wave DFT calculation with PBE was carried out for a geometry-optimized KBaNa2Au structure.

Computed properties:
The density of states at the Fermi level is 0.883 states/eV/atom. The density comes out at 3184 kg/m³. The space group is P4/mmm (123).

Lattice parameters (Å, degrees): 5.909 5.909 6.264 90.00 90.00 90.00
Element x y z (fractional)
Au: 0.000 0.000 0.000
Ba: 0.500 0.500 0.500
K: 0.000 0.000 0.500
Na: 0.000 0.500 0.000
Na: 0.500 0.000 0.000



## b
A plane-wave DFT calculation with PBE was carried out for a geometry-optimized KBaNa2Au structure.

Computed properties:
The density of states at the Fermi level is 0.754 states/eV/atom. The density comes out at 3047 kg/m³. The space group is P4/mmm (123).

Lattice parameters (Å, degrees): 6.047 6.047 6.250 90.00 90.00 90.00
Element x y z (fractional)
Na: 0.000 0.500 0.000
Au: 0.000 0.000 0.000
Ba: 0.000 0.000 0.500
K: 0.500 0.500 0.500
Na: 0.500 0.000 0.000



The data favor b; the next most stable structure lies 150 meV per atom above it.